1.
Entry from the Alexandria database: a relaxed structure of Ba3CaZn4 (PBE-GGA). Values from VASP.

Cell and atoms, written as Quantum ESPRESSO input:
```
&SYSTEM
  ibrav = 0, nat = 8, ntyp = 3
/
ATOMIC_SPECIES
Zn 65.41 Zn.upf
Ba 137.33 Ba.upf
Ca 40.08 Ca.upf
ATOMIC_POSITIONS crystal
Zn 0.000 0.000 0.094
Zn 0.000 0.000 0.369
Zn 0.000 0.000 0.631
Zn 0.000 0.000 0.906
Ba 0.500 0.500 0.500
Ba 0.500 0.500 0.763
Ba 0.500 0.500 0.237
Ca 0.500 0.500 0.000
CELL_PARAMETERS angstrom
-2.206 2.156 -2.611
-0.843 -3.367 -2.068
-12.769 -2.277 8.908
```

E_form	-166.9	meV per atom
SG	No. 123


2.
Entry from the Alexandria database: a relaxed structure of SrMgCo2 (PBE-GGA). Values from VASP.

Cell and atoms, written as Quantum ESPRESSO input:
```
&SYSTEM
  ibrav = 0, nat = 4, ntyp = 3
/
ATOMIC_SPECIES
Sr 87.62 Sr.upf
Co 58.93 Co.upf
Mg 24.30 Mg.upf
ATOMIC_POSITIONS crystal
Sr 0.500 0.500 0.796
Co 0.000 0.000 0.086
Co 0.500 0.500 0.196
Mg 0.000 0.000 0.422
CELL_PARAMETERS angstrom
-0.632 1.217 -2.884
-3.129 -0.333 0.546
-0.226 7.167 3.073
```

E above lowest polymorph	0.160	eV/atom
E_form	301.7	meV per atom
SG	No. 99


3.
Entry from the Alexandria database: a relaxed structure of NbP2Br (PBE-GGA). Values from VASP.

Cell and atoms, written as Quantum ESPRESSO input:
```
&SYSTEM
  ibrav = 0, nat = 4, ntyp = 3
/
ATOMIC_SPECIES
Nb 92.91 Nb.upf
P 30.97 P.upf
Br 79.90 Br.upf
ATOMIC_POSITIONS crystal
Nb 0.500 0.500 0.500
P 0.750 0.750 0.750
P 0.250 0.250 0.250
Br 0.000 0.000 0.000
CELL_PARAMETERS angstrom
0.000 3.254 3.254
3.254 0.000 3.254
3.254 3.254 0.000
```

E above lowest polymorph	0.315	eV/atom
raw formation energy	0.65	eV per atom
SG	No. 225


4.
Entry from the Alexandria database: a relaxed structure of AsOsBr2 (PBE-GGA). Values from VASP.

Cell and atoms, written as Quantum ESPRESSO input:
```
&SYSTEM
  ibrav = 0, nat = 4, ntyp = 3
/
ATOMIC_SPECIES
Br 79.90 Br.upf
As 74.92 As.upf
Os 190.23 Os.upf
ATOMIC_POSITIONS crystal
Br 0.000 0.000 0.069
Br 0.000 0.000 0.431
As 0.500 0.500 0.750
Os 0.500 0.500 0.250
CELL_PARAMETERS angstrom
-1.624 -2.423 -1.002
0.976 -1.653 2.415
-7.143 2.799 4.803
```

E above lowest polymorph	1.072	eV/atom
raw formation energy	1.16	eV per atom
SG	No. 123


5.
Entry from the Alexandria database: a relaxed structure of CsAgBr2 (PBE-GGA). Values from VASP.

Cell and atoms, written as Quantum ESPRESSO input:
```
&SYSTEM
  ibrav = 0, nat = 8, ntyp = 3
/
ATOMIC_SPECIES
Br 79.90 Br.upf
Ag 107.87 Ag.upf
Cs 132.91 Cs.upf
ATOMIC_POSITIONS crystal
Br 0.774 0.226 0.250
Br 0.226 0.774 0.750
Br 0.070 0.930 0.250
Br 0.930 0.070 0.750
Ag 0.201 0.799 0.250
Ag 0.799 0.201 0.750
Cs 0.414 0.586 0.250
Cs 0.586 0.414 0.750
CELL_PARAMETERS angstrom
10.451 0.007 0.000
-9.404 4.561 0.000
0.000 0.000 5.998
```

E above lowest polymorph	0.008	eV/atom
raw formation energy	-1.07	eV per atom
SG	No. 63


6.
Entry from the Alexandria database: a relaxed structure of HgRhW2 (PBE-GGA). Values from VASP.

Cell and atoms, written as Quantum ESPRESSO input:
```
&SYSTEM
  ibrav = 0, nat = 4, ntyp = 3
/
ATOMIC_SPECIES
Rh 102.91 Rh.upf
W 183.84 W.upf
Hg 200.59 Hg.upf
ATOMIC_POSITIONS crystal
Rh 0.000 0.000 0.500
W 0.000 0.500 0.000
W 0.500 0.000 0.000
Hg 0.500 0.500 0.500
CELL_PARAMETERS angstrom
4.075 2.979 0.719
-4.491 2.237 0.907
0.129 -0.819 2.658
```

E_form	472.8	meV per atom
SG	No. 65


7.
Entry from the Alexandria database: a relaxed structure of BiCF2 (PBE-GGA). Values from VASP.

Cell and atoms, written as Quantum ESPRESSO input:
```
&SYSTEM
  ibrav = 0, nat = 8, ntyp = 3
/
ATOMIC_SPECIES
F 19.00 F.upf
Bi 208.98 Bi.upf
C 12.01 C.upf
ATOMIC_POSITIONS crystal
F 0.875 0.625 0.750
F 0.375 0.625 0.250
F 0.375 0.125 0.250
F 0.375 0.625 0.750
Bi 0.750 0.250 0.500
Bi 0.000 0.000 0.000
C 0.250 0.750 0.500
C 0.500 0.500 0.000
CELL_PARAMETERS angstrom
-3.921 -4.314 0.001
2.297 -2.088 -4.934
1.780 -5.557 -0.263
```

E above lowest polymorph	0.351	eV/atom
raw formation energy	0.59	eV per atom
SG	No. 141


8.
Entry from the Alexandria database: a relaxed structure of BaLa2W (PBE-GGA). Values from VASP.

Cell and atoms, written as Quantum ESPRESSO input:
```
&SYSTEM
  ibrav = 0, nat = 4, ntyp = 3
/
ATOMIC_SPECIES
La 138.91 La.upf
W 183.84 W.upf
Ba 137.33 Ba.upf
ATOMIC_POSITIONS crystal
La 0.500 0.500 0.000
La 0.000 0.000 0.000
W 0.500 0.000 0.500
Ba 0.000 0.500 0.500
CELL_PARAMETERS angstrom
6.742 -0.006 0.000
-2.977 6.049 0.000
0.782 1.255 2.913
```

E above lowest polymorph	0.500	eV/atom
E_form	984.6	meV per atom
SG	No. 12


Ρ per entry: 4.61, 4.80, 5.66, 8.19, 4.65, 16.99, 6.12, 8.38 g/cm³
N(E_F) per entry: 6.70, 4.26, 4.72, 4.12, 0.00, 2.06, 2.25, 5.91 states/eV/f.u.